Version A
## Nd3Sm3Te2Pt (GGA-PBE)

Data for a relaxed structure of Nd3Sm3Te2Pt.

- SG = No. 189
- M_tot (μB/f.u.) = 0.01
- mass density (Mg/m³) = 8.5

Geometry as extended XYZ:
```
9
Lattice="8.637 0.000 0.000 -4.319 7.480 0.000 0.000 0.000 4.056" Properties=species:S:1:pos:R:3 pbc="T T T"
Nd -1.768 3.062 0.000
Nd 3.536 0.000 0.000
Nd 2.551 4.418 0.000
Sm -3.264 5.653 2.028
Sm 1.055 1.827 2.028
Sm 6.527 0.000 2.028
Te 0.000 4.987 2.028
Te 4.319 2.493 2.028
Pt 0.000 0.000 0.000
```

=====

Version B
## Nd3Sm3Te2Pt (GGA-PBE)

Data for a relaxed structure of Nd3Sm3Te2Pt.

- SG = No. 189
- M_tot (μB/f.u.) = 0.01
- mass density (Mg/m³) = 8.5

Geometry as extended XYZ:
```
9
Lattice="8.686 0.000 0.000 -4.343 7.522 0.000 0.000 0.000 4.012" Properties=species:S:1:pos:R:3 pbc="T T T"
Nd -3.267 5.659 0.000
Nd 1.076 1.863 0.000
Nd 6.535 0.000 0.000
Sm -1.781 3.085 2.006
Sm 3.562 0.000 2.006
Sm 2.562 4.438 2.006
Te 0.000 5.015 0.000
Te 4.343 2.507 0.000
Pt 0.000 0.000 2.006
```

=====

Most stable: version A

=====

Version A
## TbNdPt2 (GGA-PBE)

Data for a relaxed structure of TbNdPt2.

- SG = No. 26
- M_tot (μB/f.u.) = 0.00
- mass density (Mg/m³) = 12.4

Geometry as extended XYZ:
```
8
Lattice="4.572 0.000 0.000 0.000 5.658 0.000 0.000 0.000 7.203" Properties=species:S:1:pos:R:3 pbc="T T T"
Tb 0.000 0.619 0.000
Tb 0.000 5.039 3.602
Nd 2.286 2.203 2.627
Nd 2.286 3.455 6.228
Pt 0.000 2.271 4.607
Pt 0.000 3.387 1.005
Pt 2.286 0.528 5.244
Pt 2.286 5.130 1.643
```

=====

Version B
## TbNdPt2 (GGA-PBE)

Data for a relaxed structure of TbNdPt2.

- SG = No. 31
- M_tot (μB/f.u.) = 0.00
- mass density (Mg/m³) = 12.3

Geometry as extended XYZ:
```
8
Lattice="4.576 0.000 0.000 0.000 7.223 0.000 0.000 0.000 5.644" Properties=species:S:1:pos:R:3 pbc="T T T"
Tb 0.000 0.481 0.000
Tb 2.288 6.742 2.822
Nd 0.000 4.112 4.405
Nd 2.288 3.111 1.583
Pt 0.000 1.397 2.743
Pt 0.000 5.190 1.669
Pt 2.288 2.032 4.491
Pt 2.288 5.826 5.565
```

=====

Most stable: version B

=====

Version A
## NdZrPt (GGA-PBE)

Data for a relaxed structure of NdZrPt.

- SG = No. 216
- M_tot (μB/f.u.) = 0.00
- mass density (Mg/m³) = 9.6

Geometry as extended XYZ:
```
3
Lattice="0.000 3.335 3.335 3.335 0.000 3.335 3.335 3.335 0.000" Properties=species:S:1:pos:R:3 pbc="T T T"
Nd 0.000 0.000 0.000
Zr 1.668 1.668 1.668
Pt 5.003 5.003 5.003
```

=====

Version B
## NdZrPt (GGA-PBE)

Data for a relaxed structure of NdZrPt.

- SG = No. 216
- M_tot (μB/f.u.) = 0.00
- mass density (Mg/m³) = 9.1

Geometry as extended XYZ:
```
3
Lattice="0.000 3.401 3.401 3.401 0.000 3.401 3.401 3.401 0.000" Properties=species:S:1:pos:R:3 pbc="T T T"
Nd 0.000 0.000 0.000
Zr 3.401 3.401 3.401
Pt 1.701 1.701 1.701
```

=====

Most stable: version B

=====

Version A
## NdPu (GGA-PBE)

Data for a relaxed structure of NdPu.

- SG = No. 187
- M_tot (μB/f.u.) = 6.29
- mass density (Mg/m³) = 10.2

Geometry as extended XYZ:
```
2
Lattice="3.531 0.000 0.000 -1.765 3.058 0.000 0.000 0.000 5.837" Properties=species:S:1:pos:R:3 pbc="T T T"
Nd 0.000 0.000 0.000
Pu 1.765 1.019 2.918
```

=====

Version B
## NdPu (GGA-PBE)

Data for a relaxed structure of NdPu.

- SG = No. 216
- M_tot (μB/f.u.) = 6.79
- mass density (Mg/m³) = 8.7

Geometry as extended XYZ:
```
2
Lattice="0.000 3.327 3.327 3.327 0.000 3.327 3.327 3.327 0.000" Properties=species:S:1:pos:R:3 pbc="T T T"
Nd 0.000 0.000 0.000
Pu 4.991 4.991 4.991
```

=====

Most stable: version A

=====

Version A
## NdPuTc (GGA-PBE)

Data for a relaxed structure of NdPuTc.

- SG = No. 216
- M_tot (μB/f.u.) = 4.48
- mass density (Mg/m³) = 11.8

Geometry as extended XYZ:
```
3
Lattice="0.000 3.247 3.247 3.247 0.000 3.247 3.247 3.247 0.000" Properties=species:S:1:pos:R:3 pbc="T T T"
Nd 0.000 0.000 0.000
Pu 4.871 4.871 4.871
Tc 1.624 1.624 1.624
```

=====

Version B
## NdPuTc (GGA-PBE)

Data for a relaxed structure of NdPuTc.

- SG = No. 63
- M_tot (μB/f.u.) = 4.73
- mass density (Mg/m³) = 10.9

Geometry as extended XYZ:
```
6
Lattice="2.035 -5.746 0.000 2.035 5.746 0.000 0.000 0.000 6.316" Properties=species:S:1:pos:R:3 pbc="T T T"
Nd 2.035 3.286 4.737
Nd 2.035 -3.286 1.579
Pu 2.035 0.000 0.000
Pu 2.035 0.000 3.158
Tc 2.035 4.841 1.579
Tc 2.035 -4.841 4.737
```

=====

Most stable: version B

=====

Version A
## RbNdSnSe3 (GGA-PBE)

Data for a relaxed structure of RbNdSnSe3.

- SG = No. 63
- M_tot (μB/f.u.) = 0.01
- mass density (Mg/m³) = 4.5

Geometry as extended XYZ:
```
12
Lattice="2.130 -8.322 0.000 2.130 8.322 0.000 0.000 0.000 12.182" Properties=species:S:1:pos:R:3 pbc="T T T"
Rb 2.130 5.176 9.137
Rb 2.130 -5.176 3.046
Nd 2.130 0.000 0.000
Nd 2.130 0.000 6.091
Sn 2.130 6.512 3.046
Sn 2.130 -6.512 9.137
Se 2.130 6.304 0.154
Se 2.130 6.304 5.937
Se 2.130 0.034 3.046
Se 2.130 -0.034 9.137
Se 2.130 -6.304 6.245
Se 2.130 -6.304 12.028
```

=====

Version B
## RbNdSnSe3 (GGA-PBE)

Data for a relaxed structure of RbNdSnSe3.

- SG = No. 62
- M_tot (μB/f.u.) = 0.00
- mass density (Mg/m³) = 4.5

Geometry as extended XYZ:
```
24
Lattice="16.110 0.000 0.000 0.000 4.282 0.000 0.000 0.000 12.408" Properties=species:S:1:pos:R:3 pbc="T T T"
Rb 3.755 1.070 1.101
Rb 4.300 3.211 7.305
Rb 11.810 1.070 5.103
Rb 12.354 3.211 11.307
Nd 0.037 3.211 8.039
Nd 8.018 1.070 1.835
Nd 8.091 3.211 10.573
Nd 16.073 1.070 4.369
Sn 0.648 1.070 11.312
Sn 7.407 3.211 5.108
Sn 8.702 1.070 7.300
Sn 15.462 3.211 1.096
Se 1.410 3.211 2.809
Se 1.623 1.070 6.772
Se 2.106 3.211 10.258
Se 5.949 1.070 4.054
Se 6.432 3.211 0.568
Se 6.645 1.070 9.013
Se 9.465 3.211 3.395
Se 9.677 1.070 11.840
Se 10.160 3.211 8.354
Se 14.004 1.070 2.150
Se 14.487 3.211 5.636
Se 14.700 1.070 9.599
```

=====

Most stable: version B

=====

Version A
## NdTlRe (GGA-PBE)

Data for a relaxed structure of NdTlRe.

- SG = No. 216
- M_tot (μB/f.u.) = 1.03
- mass density (Mg/m³) = 10.4

Geometry as extended XYZ:
```
3
Lattice="0.000 3.492 3.492 3.492 0.000 3.492 3.492 3.492 0.000" Properties=species:S:1:pos:R:3 pbc="T T T"
Nd 0.000 0.000 0.000
Tl 1.746 1.746 1.746
Re 5.237 5.237 5.237
```

=====

Version B
## NdTlRe (GGA-PBE)

Data for a relaxed structure of NdTlRe.

- SG = No. 216
- M_tot (μB/f.u.) = 0.52
- mass density (Mg/m³) = 11.2

Geometry as extended XYZ:
```
3
Lattice="0.000 3.412 3.412 3.412 0.000 3.412 3.412 3.412 0.000" Properties=species:S:1:pos:R:3 pbc="T T T"
Nd 0.000 0.000 0.000
Tl 1.706 1.706 1.706
Re 3.412 3.412 3.412
```

=====

Most stable: version B

=====

Version A
## NdZrRe (GGA-PBE)

Data for a relaxed structure of NdZrRe.

- SG = No. 216
- M_tot (μB/f.u.) = 0.01
- mass density (Mg/m³) = 9.6

Geometry as extended XYZ:
```
3
Lattice="0.000 3.320 3.320 3.320 0.000 3.320 3.320 3.320 0.000" Properties=species:S:1:pos:R:3 pbc="T T T"
Nd 0.000 0.000 0.000
Zr 1.660 1.660 1.660
Re 4.980 4.980 4.980
```

=====

Version B
## NdZrRe (GGA-PBE)

Data for a relaxed structure of NdZrRe.

- SG = No. 216
- M_tot (μB/f.u.) = 0.00
- mass density (Mg/m³) = 9.6

Geometry as extended XYZ:
```
3
Lattice="0.000 3.320 3.320 3.320 0.000 3.320 3.320 3.320 0.000" Properties=species:S:1:pos:R:3 pbc="T T T"
Nd 0.000 0.000 0.000
Zr 1.660 1.660 1.660
Re 3.320 3.320 3.320
```

=====

Most stable: version B